Material: La4TlCd
Method: DFT, PBE-GGA
State: optimized geometry

Computed properties:
Energy of formation from the pure elements = -33.1 meV/atom
Distance to the lowest polymorph of the same formula = 194 meV/atom

Unit cell a=5.4487 b=5.4485 c=7.5822 alpha=89.93 beta=89.95 gamma=90.00
With the nearest neighbours (Å) after each atom.
Positions (direct):
La (0.5015, 0.9967, 0.2541)  2 Cd 3.29, 2 Tl 3.34-3.35
La (0.5012, 0.9976, 0.7422)  2 Cd 3.29, 2 Tl 3.34
La (0.0015, 0.4972, 0.7423)  2 Cd 3.29, 2 Tl 3.34
La (0.0009, 0.4976, 0.2541)  2 Cd 3.29, 2 Tl 3.34-3.35
Tl (0.5013, 0.4972, 0.9980)  8 La 3.34-3.35
Cd (0.0013, 0.9974, 0.4981)  8 La 3.29

---

Material: Ac5SnOs2
Method: DFT, PBE-GGA
State: optimized geometry

Computed properties:
Energy of formation from the pure elements = -237.5 meV/atom

Unit cell a=8.3674 b=8.3674 c=9.4836 alpha=116.18 beta=116.18 gamma=90.00
With the nearest neighbours (Å) after each atom.
Positions (direct):
Ac (0.5303, 0.7082, 0.7385)  3 Os 3.07-3.17
Ac (0.7918, 0.9697, 0.2615)  3 Os 3.07-3.17
Ac (0.0000, 0.0000, 0.0000)  4 Os 3.24
Ac (0.5000, 0.5000, 0.0000)  4 Os 3.24
Ac (0.2082, 0.0303, 0.7385)  3 Os 3.07-3.17
Ac (0.7082, 0.2082, 0.7385)  3 Os 3.07-3.17
Ac (0.0303, 0.5303, 0.7385)  3 Os 3.07-3.17
Ac (0.2918, 0.7918, 0.2615)  3 Os 3.07-3.17
Ac (0.9697, 0.4697, 0.2615)  3 Os 3.07-3.17
Ac (0.4697, 0.2918, 0.2615)  3 Os 3.07-3.17
Sn (0.7500, 0.7500, 0.5000)  10 Ac 3.60-3.71
Sn (0.2500, 0.2500, 0.5000)  10 Ac 3.60-3.71
Os (0.1378, 0.3622, 0.0000)  8 Ac 3.07-3.24, 1 Os 3.26
Os (0.6378, 0.1378, 0.0000)  8 Ac 3.07-3.24, 1 Os 3.26
Os (0.3622, 0.8622, 0.0000)  8 Ac 3.07-3.24, 1 Os 3.26
Os (0.8622, 0.6378, 0.0000)  8 Ac 3.07-3.24, 1 Os 3.26

---

Material: FeNiMo4
Method: DFT, PBE-GGA
State: optimized geometry

Computed properties:
Energy of formation from the pure elements = 572.1 meV/atom

Unit cell a=5.1217 b=5.1217 c=5.1217 alpha=60.00 beta=60.00 gamma=60.00
With the nearest neighbours (Å) after each atom.
Positions (direct):
Fe (0.0000, 0.0000, 0.0000)  12 Mo 3.00, 4 Ni 3.14
Ni (0.7500, 0.7500, 0.7500)  12 Mo 3.00, 4 Fe 3.14
Mo (0.8752, 0.3749, 0.3749)  6 Mo 2.56
Mo (0.3749, 0.3749, 0.8752)  6 Mo 2.56
Mo (0.3749, 0.8752, 0.3749)  6 Mo 2.56
Mo (0.3749, 0.3749, 0.3749)  6 Mo 2.56

---

no.,total energy (eV for the cell shown)
1,-23.2
2,-97.8
3,-54.1